(1)
Mg3CrO4 | GGA+U | relaxed

a b c (Å): 3.0826 5.2274 5.2274
angles (deg): 107.12 90.00 90.00
Each line ends with the local moment (μB).
Fractional coordinates of all 8 atoms:
O 0.5000 0.7530 0.2470  0.00
Mg 0.5000 0.5000 0.5000  0.00
O 0.5000 0.2470 0.7530  0.00
Cr 0.5000 0.0000 0.0000  3.77
O 0.0000 0.2681 0.2681  0.03
Mg 0.0000 0.5000 0.0000  0.00
Mg 0.0000 0.0000 0.5000  0.00
O 0.0000 0.7319 0.7319  0.03

Space group ... Cmmm (65)

=====

(2)
MgCrP4O12 | GGA+U | relaxed

a b c (Å): 7.4825 7.4825 10.1088
angles (deg): 65.83 65.83 67.99
Each line ends with the local moment (μB).
Fractional coordinates of all 36 atoms:
O 0.4683 0.7097 0.8433  0.00
O 0.2758 0.1305 0.1693  -0.01
O 0.7097 0.4683 0.3433  0.00
O 0.1305 0.2758 0.6693  -0.01
P 0.6876 0.7033 0.3114  0.00
O 0.7242 0.8695 0.8307  -0.01
O 0.2903 0.5317 0.6567  0.00
O 0.5000 0.2358 0.5495  0.00
P 0.7319 0.2529 0.4761  0.00
O 0.3511 0.1836 0.8377  -0.01
P 0.2967 0.3124 0.1886  0.00
O 0.2692 0.7991 0.0920  0.01
O 0.1519 0.9086 0.5971  0.00
P 0.2681 0.7471 0.5239  0.00
O 0.9086 0.1519 0.0971  0.00
O 0.7991 0.2692 0.5920  0.01
Cr 0.0000 0.5000 0.5000  3.79
O 0.8481 0.0914 0.4029  0.00
O 0.7642 0.5000 0.9505  0.00
O 0.7308 0.2009 0.9080  0.01
O 0.2358 0.5000 0.0495  0.00
O 0.5000 0.7642 0.4505  0.00
O 0.8164 0.6489 0.6623  -0.01
Cr 0.5000 0.0000 0.0000  3.79
P 0.7033 0.6876 0.8114  0.00
P 0.3124 0.2967 0.6886  0.00
O 0.2009 0.7308 0.4080  0.01
Mg 0.9509 0.0491 0.7500  0.00
O 0.1836 0.3511 0.3377  -0.01
Mg 0.0491 0.9509 0.2500  0.00
P 0.7471 0.2681 0.0239  0.00
O 0.8695 0.7242 0.3307  -0.01
O 0.5317 0.2903 0.1567  0.00
P 0.2529 0.7319 0.9761  0.00
O 0.6489 0.8164 0.1623  -0.01
O 0.0914 0.8481 0.9029  0.00

Space group ... C2/c (15)

=====

(3)
Mg2Cr5P6O24 | GGA+U | relaxed

a b c (Å): 6.3652 8.0003 9.4442
angles (deg): 105.52 107.56 101.52
Each line ends with the local moment (μB).
Fractional coordinates of all 37 atoms:
O 0.6848 0.9559 0.5801  -0.02
O 0.0757 0.0511 0.1571  -0.02
O 0.9832 0.3047 0.8412  -0.01
O 0.0168 0.6953 0.1588  -0.01
Cr 0.3800 0.9550 0.6084  2.94
O 0.3615 0.2496 0.0032  -0.02
O 0.1256 0.2940 0.4173  -0.01
P 0.0980 0.0984 0.3343  0.01
O 0.7806 0.3006 0.5647  -0.02
O 0.2856 0.5319 0.7561  0.01
Mg 0.7165 0.6986 0.2047  0.00
P 0.7754 0.3499 0.7368  0.01
O 0.4569 0.7679 0.2684  -0.01
O 0.5555 0.1463 0.2260  0.02
Mg 0.2835 0.3014 0.7953  0.00
P 0.3990 0.7323 0.8690  0.00
P 0.2246 0.6501 0.2632  0.01
O 0.8825 0.9700 0.3408  -0.01
O 0.7144 0.4681 0.2439  0.01
P 0.9020 0.9016 0.6657  0.01
O 0.6385 0.7504 0.9968  -0.02
O 0.9243 0.9489 0.8429  -0.02
O 0.4445 0.8537 0.7740  0.02
Cr 0.6200 0.0450 0.3916  2.94
Cr 0.9553 0.7856 0.9766  2.94
O 0.2194 0.6994 0.4353  -0.02
O 0.8744 0.7060 0.5827  -0.01
P 0.6010 0.2677 0.1310  0.00
O 0.1175 0.0300 0.6592  -0.01
Cr 0.0447 0.2144 0.0234  2.94
O 0.7969 0.5496 0.8023  -0.01
O 0.5431 0.2321 0.7316  -0.01
O 0.2031 0.4504 0.1977  -0.01
O 0.2559 0.7945 0.9653  0.01
O 0.3152 0.0441 0.4199  -0.02
O 0.7441 0.2055 0.0347  0.01
Cr 0.0000 0.5000 0.5000  3.79

Space group ... P-1 (2)

=====

(4)
MgCr4P4O16 | GGA+U | relaxed

a b c (Å): 5.7637 6.5802 9.5909
angles (deg): 69.87 77.70 79.84
Each line ends with the local moment (μB).
Fractional coordinates of all 25 atoms:
O 0.2784 0.3620 0.5867  -0.01
P 0.7007 0.6433 0.5719  0.01
O 0.4427 0.7126 0.6362  -0.02
O 0.9585 0.2376 0.1643  0.00
P 0.2997 0.3335 0.4279  0.01
O 0.8873 0.8003 0.5533  -0.03
O 0.2938 0.9810 0.0693  0.00
O 0.5556 0.2603 0.3693  -0.01
Cr 0.3008 0.6789 0.0633  3.75
O 0.3666 0.3583 0.0508  -0.02
O 0.8151 0.4359 0.6936  -0.02
O 0.0969 0.3157 0.8885  -0.01
Cr 0.1226 0.5905 0.6816  3.04
O 0.7039 0.5896 0.4284  -0.01
O 0.7573 0.0437 0.9054  -0.01
O 0.0956 0.1765 0.4664  -0.03
P 0.8346 0.7969 0.9471  0.01
P 0.1835 0.2126 0.0475  0.01
O 0.1853 0.5298 0.3074  -0.03
Mg 0.0012 0.1373 0.6963  0.00
Cr 0.8794 0.3994 0.3157  3.04
O 0.6415 0.6643 0.9429  -0.02
O 0.9201 0.6924 0.1006  -0.01
Cr 0.7171 0.3269 0.9615  3.80
O 0.0455 0.7938 0.8114  -0.01

Space group ... P1 (1)

=====

(5)
MgCr2Sb2P4O16 | GGA+U | relaxed

a b c (Å): 4.8907 6.5452 11.1083
angles (deg): 84.92 88.36 89.60
Each line ends with the local moment (μB).
Fractional coordinates of all 25 atoms:
Cr 0.5978 0.7832 0.8066  3.80
Sb 0.0105 0.3187 0.7202  0.01
O 0.7064 0.0933 0.8236  -0.01
O 0.7610 0.7402 0.1298  0.00
O 0.2227 0.1814 0.3699  -0.01
O 0.1820 0.6364 0.7276  0.01
O 0.7631 0.9906 0.3439  0.01
P 0.9039 0.1954 0.3737  0.00
O 0.7773 0.8186 0.6301  -0.01
P 0.5500 0.2583 0.8955  0.01
O 0.2390 0.2598 0.8702  0.00
Sb 0.9895 0.6813 0.2798  0.01
O 0.2369 0.0094 0.6561  0.01
O 0.4058 0.7665 0.9707  -0.01
O 0.3068 0.5423 0.1695  -0.01
O 0.6932 0.4577 0.8305  -0.01
O 0.2936 0.9067 0.1764  -0.01
O 0.8180 0.3636 0.2724  0.01
P 0.4500 0.7417 0.1045  0.01
O 0.7795 0.2371 0.4980  0.00
P 0.0961 0.8046 0.6263  0.00
Cr 0.4022 0.2168 0.1934  3.80
O 0.2205 0.7629 0.5020  0.00
Mg 0.5000 0.0000 0.5000  0.00
O 0.5942 0.2335 0.0293  -0.01

Space group ... P-1 (2)

=====

(6)
SrMgCrP2O8 | GGA+U | relaxed

a b c (Å): 5.7307 6.6976 9.4142
angles (deg): 109.28 102.44 99.10
Each line ends with the local moment (μB).
Fractional coordinates of all 26 atoms:
O 0.7386 0.9930 0.1256  0.00
O 0.3314 0.1905 0.2395  -0.01
Mg 0.9967 0.5863 0.3541  0.00
Cr 0.6452 0.8466 0.5473  3.79
Cr 0.3548 0.1534 0.4527  3.79
O 0.6400 0.4780 0.2095  0.00
O 0.3654 0.5844 0.3960  -0.01
O 0.6686 0.8095 0.7605  -0.01
Sr 0.7376 0.2015 0.9446  0.00
O 0.8311 0.5559 0.8863  0.00
O 0.9625 0.1070 0.6787  -0.01
O 0.2614 0.0070 0.8744  0.00
O 0.3600 0.5220 0.7905  0.00
Sr 0.2624 0.7985 0.0554  0.00
P 0.3833 0.4217 0.2356  0.01
O 0.3819 0.0638 0.6459  0.01
O 0.1689 0.4441 0.1137  0.00
O 0.6346 0.4156 0.6040  -0.01
P 0.6167 0.5783 0.7644  0.01
P 0.1656 0.9751 0.7022  0.01
Mg 0.0033 0.4137 0.6459  0.00
O 0.6181 0.9362 0.3541  0.01
O 0.0375 0.8930 0.3213  -0.01
O 0.9579 0.2720 0.4069  0.02
P 0.8344 0.0249 0.2978  0.01
O 0.0421 0.7280 0.5931  0.02

Space group ... P-1 (2)

=====

Record-wise calculated volume values, in Å³ per atom: 10.06, 12.68, 11.37, 13.26, 14.16, 12.41
Record-wise E_tot values, in eV/atom: -6.394, -7.247, -7.433, -7.398, -7.065, -7.232